# PmDyTh2N4

PmDyTh2N4 after structural relaxation (PBE-GGA, Alexandria).

The uncorrected formation energy is -1.575 eV per atom. The value obtained for the total energy is -70.10 eV per cell. The magnetic moment is 0.000 μB per atom.

The structure belongs to space group P2/m (No. 10); the cell edges are 6.2198, 3.6187 and 6.2697 Å and the angles 90.00°, 109.59° and 90.00°. The distinct sites, in fractional coordinates, are Pm at (0.0000, 0.0000, 0.0000), Dy at (0.0000, 0.5000, 0.5000), Th at (0.5000, 0.0000, 0.5000), Th at (0.5000, 0.5000, 0.0000), N at (0.2513, 0.0000, 0.7451) and N at (0.2558, 0.5000, 0.2572).

=====

# Na3Mg2PbO6

Na3Mg2PbO6 after structural relaxation (PBE-GGA, Alexandria).

The uncorrected formation energy is -1.671 eV per atom. The value obtained for the total energy is -121.31 eV per cell. The magnetic moment is 0.094 μB per atom.

The structure belongs to space group C2/m (No. 12); the cell edges are 5.5269, 9.5743 and 5.7980 Å and the angles 90.00°, 108.48° and 90.00°. The distinct sites, in fractional coordinates, are Na at (0.0000, 0.0000, 0.0000), Na at (0.0000, 0.3305, 0.0000), Mg at (0.0000, 0.1666, 0.5000), Pb at (0.0000, 0.5000, 0.5000), O at (0.2310, 0.0000, 0.7104) and O at (0.2396, 0.3304, 0.7098).

=====

# Al2ZnP

Al2ZnP after structural relaxation (PBE-GGA, Alexandria).

The calculation puts the formation energy at 0.14 eV per atom. Its energy above the most stable polymorph in this dataset is 0.1186 eV per atom. The value obtained for the total energy is -13.62 eV per cell. The magnetic moment is 0.000 μB per atom.

The structure belongs to space group Pmmm (No. 47); the cell edges are 3.6308, 3.8575 and 4.6202 Å and the angles 90.00°, 90.00° and 90.00°. The distinct sites, in fractional coordinates, are Al at (0.0000, 0.0000, 0.0000), Al at (0.0000, 0.5000, 0.5000), Zn at (0.5000, 0.0000, 0.5000) and P at (0.5000, 0.5000, 0.0000).

=====

# Ni3RuRh3

Ni3RuRh3 after structural relaxation (PBE-GGA, Alexandria).

The calculation puts the formation energy at 0.06 eV per atom. The value obtained for the total energy is -96.53 eV per cell. The magnetic moment is 0.288 μB per atom.

The structure belongs to space group P6_3/m (No. 176); the cell edges are 6.9921, 6.9921 and 4.2659 Å and the angles 90.00°, 90.00° and 120.00°. The distinct sites, in fractional coordinates, are Ni at (0.0433, 0.8159, 0.2500), Ru at (0.3333, 0.6667, 0.2500) and Rh at (0.0901, 0.6278, 0.7500).